<P>
VASP calculation (PBE-GGA) on As5Se after structural relaxation.

Structure (CIF):
```
data_As5Se
_chemical_formula_sum 'As5 Se1'
_cell_length_a 5.3467
_cell_length_b 5.3467
_cell_length_c 4.8973
_cell_angle_alpha 90.00
_cell_angle_beta 90.00
_cell_angle_gamma 120.00
_symmetry_space_group_name_H-M 'P -6 2 m'
_symmetry_Int_Tables_number 189
_symmetry_space_group_name_Hall 'P -6 -2'
loop_
_atom_site_label
_atom_site_type_symbol
_atom_site_fract_x
_atom_site_fract_y
_atom_site_fract_z
_atom_site_occupancy
As1 As 0.0000 0.5879 0.0000 1
As2 As 0.3333 0.6667 0.5000 1
Se1 Se 0.0000 0.0000 0.5000 1
```

<Q>
VASP calculation (PBE-GGA) on As5Se after structural relaxation.

Structure (CIF):
```
data_As5Se
_chemical_formula_sum 'As5 Se1'
_cell_length_a 2.7375
_cell_length_b 2.7375
_cell_length_c 16.8583
_cell_angle_alpha 90.00
_cell_angle_beta 90.00
_cell_angle_gamma 90.00
_symmetry_space_group_name_H-M 'P 4/m m m'
_symmetry_Int_Tables_number 123
_symmetry_space_group_name_Hall '-P 4 2'
loop_
_atom_site_label
_atom_site_type_symbol
_atom_site_fract_x
_atom_site_fract_y
_atom_site_fract_z
_atom_site_occupancy
As1 As 0.0000 0.0000 0.0000 1
As2 As 0.0000 0.0000 0.3016 1
As3 As 0.5000 0.5000 0.1564 1
Se1 Se 0.5000 0.5000 0.5000 1
```

Which one sits at the bottom of the stability order? <P> does.

<P>
VASP calculation (PBE-GGA) on As4Se5 after structural relaxation.

Structure (CIF):
```
data_As4Se5
_chemical_formula_sum 'As8 Se10'
_cell_length_a 13.8736
_cell_length_b 13.8736
_cell_length_c 3.4926
_cell_angle_alpha 90.00
_cell_angle_beta 90.00
_cell_angle_gamma 90.00
_symmetry_space_group_name_H-M 'I 4/m m m'
_symmetry_Int_Tables_number 139
_symmetry_space_group_name_Hall '-I 4 2'
loop_
_atom_site_label
_atom_site_type_symbol
_atom_site_fract_x
_atom_site_fract_y
_atom_site_fract_z
_atom_site_occupancy
As1 As 0.0000 0.1808 0.0000 1
Se1 Se 0.0000 0.0000 0.0000 1
Se2 Se 0.1494 0.1494 0.5000 1
```

<Q>
VASP calculation (PBE-GGA) on As4Se5 after structural relaxation.

Structure (CIF):
```
data_As4Se5
_chemical_formula_sum 'As8 Se10'
_cell_length_a 11.0456
_cell_length_b 11.0456
_cell_length_c 3.3503
_cell_angle_alpha 90.00
_cell_angle_beta 90.00
_cell_angle_gamma 90.00
_symmetry_space_group_name_H-M 'I 4/m m m'
_symmetry_Int_Tables_number 139
_symmetry_space_group_name_Hall '-I 4 2'
loop_
_atom_site_label
_atom_site_type_symbol
_atom_site_fract_x
_atom_site_fract_y
_atom_site_fract_z
_atom_site_occupancy
As1 As 0.0000 0.3667 0.0000 1
Se1 Se 0.0000 0.0000 0.0000 1
Se2 Se 0.1881 0.1881 0.5000 1
```

Which one sits at the bottom of the stability order? <Q> does.

<P>
VASP calculation (PBE-GGA) on SiAs2Se after structural relaxation.

Structure (CIF):
```
data_SiAs2Se
_chemical_formula_sum 'Si2 As4 Se2'
_cell_length_a 3.5010
_cell_length_b 4.4513
_cell_length_c 10.8143
_cell_angle_alpha 90.00
_cell_angle_beta 90.00
_cell_angle_gamma 90.00
_symmetry_space_group_name_H-M 'I m m 2'
_symmetry_Int_Tables_number 44
loop_
_symmetry_equiv_pos_as_xyz
'x,y,z'
'-x,-y,z'
'-x,y,z'
'x,-y,z'
'x+1/2,y+1/2,z+1/2'
'-x+1/2,-y+1/2,z+1/2'
'-x+1/2,y+1/2,z+1/2'
'x+1/2,-y+1/2,z+1/2'
loop_
_atom_site_label
_atom_site_type_symbol
_atom_site_fract_x
_atom_site_fract_y
_atom_site_fract_z
_atom_site_occupancy
Si1 Si 0.0000 0.0000 0.0000 1
As1 As 0.0000 0.0000 0.5269 1
As2 As 0.0000 0.5000 0.6718 1
Se1 Se 0.0000 0.5000 0.3349 1
```

<Q>
VASP calculation (PBE-GGA) on SiAs2Se after structural relaxation.

Structure (CIF):
```
data_SiAs2Se
_chemical_formula_sum 'Si1 As2 Se1'
_cell_length_a 3.8553
_cell_length_b 3.8553
_cell_length_c 5.6106
_cell_angle_alpha 90.00
_cell_angle_beta 90.00
_cell_angle_gamma 90.00
_symmetry_space_group_name_H-M 'P 4 m m'
_symmetry_Int_Tables_number 99
loop_
_symmetry_equiv_pos_as_xyz
'x,y,z'
'-y,x,z'
'-x,-y,z'
'y,-x,z'
'-x,y,z'
'y,x,z'
'x,-y,z'
'-y,-x,z'
loop_
_atom_site_label
_atom_site_type_symbol
_atom_site_fract_x
_atom_site_fract_y
_atom_site_fract_z
_atom_site_occupancy
Si1 Si 0.0000 0.0000 0.0000 1
As1 As 0.0000 0.0000 0.4453 1
As2 As 0.5000 0.5000 0.4968 1
Se1 Se 0.5000 0.5000 0.9500 1
```

<R>
VASP calculation (PBE-GGA) on SiAs2Se after structural relaxation.

Structure (CIF):
```
data_SiAs2Se
_chemical_formula_sum 'Si4 As8 Se4'
_cell_length_a 6.7016
_cell_length_b 6.7016
_cell_length_c 6.7016
_cell_angle_alpha 90.00
_cell_angle_beta 90.00
_cell_angle_gamma 90.00
_symmetry_space_group_name_H-M 'F -4 3 m'
_symmetry_Int_Tables_number 216
_symmetry_space_group_name_Hall 'F -4 2 3'
loop_
_atom_site_label
_atom_site_type_symbol
_atom_site_fract_x
_atom_site_fract_y
_atom_site_fract_z
_atom_site_occupancy
Si1 Si 0.0000 0.0000 0.0000 1
As1 As 0.0000 0.0000 0.5000 1
As2 As 0.2500 0.2500 0.2500 1
Se1 Se 0.2500 0.2500 0.7500 1
```

<S>
VASP calculation (PBE-GGA) on SiAs2Se after structural relaxation.

Structure (CIF):
```
data_SiAs2Se
_chemical_formula_sum 'Si2 As4 Se2'
_cell_length_a 3.5971
_cell_length_b 5.7656
_cell_length_c 8.7855
_cell_angle_alpha 90.00
_cell_angle_beta 90.00
_cell_angle_gamma 90.00
_symmetry_space_group_name_H-M 'C m m 2'
_symmetry_Int_Tables_number 35
loop_
_symmetry_equiv_pos_as_xyz
'x,y,z'
'-x,-y,z'
'-x,y,z'
'x,-y,z'
'x+1/2,y+1/2,z'
'-x+1/2,-y+1/2,z'
'-x+1/2,y+1/2,z'
'x+1/2,-y+1/2,z'
loop_
_atom_site_label
_atom_site_type_symbol
_atom_site_fract_x
_atom_site_fract_y
_atom_site_fract_z
_atom_site_occupancy
Si1 Si 0.0000 0.0000 0.0000 1
As1 As 0.0000 0.0000 0.5699 1
As2 As 0.0000 0.5000 0.7676 1
Se1 Se 0.0000 0.5000 0.1803 1
```

Which one sits at the bottom of the stability order? <R> does.

<P>
VASP calculation (PBE-GGA) on SiAs2Se after structural relaxation.

Structure (CIF):
```
data_SiAs2Se
_chemical_formula_sum 'Si1 As2 Se1'
_cell_length_a 4.5117
_cell_length_b 3.7876
_cell_length_c 5.0032
_cell_angle_alpha 90.00
_cell_angle_beta 110.72
_cell_angle_gamma 90.00
_symmetry_space_group_name_H-M 'P 1 2/m 1'
_symmetry_Int_Tables_number 10
loop_
_symmetry_equiv_pos_as_xyz
'x,y,z'
'-x,-y,-z'
'-x,y,-z'
'x,-y,z'
loop_
_atom_site_label
_atom_site_type_symbol
_atom_site_fract_x
_atom_site_fract_y
_atom_site_fract_z
_atom_site_occupancy
Si1 Si 0.0000 0.0000 0.0000 1
As1 As 0.2421 0.5000 0.7941 1
Se1 Se 0.5000 0.0000 0.5000 1
```

<Q>
VASP calculation (PBE-GGA) on SiAs2Se after structural relaxation.

Structure (CIF):
```
data_SiAs2Se
_chemical_formula_sum 'Si2 As4 Se2'
_cell_length_a 11.6902
_cell_length_b 3.5483
_cell_length_c 4.1529
_cell_angle_alpha 90.00
_cell_angle_beta 104.26
_cell_angle_gamma 90.00
_symmetry_space_group_name_H-M 'C 1 2/m 1'
_symmetry_Int_Tables_number 12
loop_
_symmetry_equiv_pos_as_xyz
'x,y,z'
'-x,-y,-z'
'-x,y,-z'
'x,-y,z'
'x+1/2,y+1/2,z'
'-x+1/2,-y+1/2,-z'
'-x+1/2,y+1/2,-z'
'x+1/2,-y+1/2,z'
loop_
_atom_site_label
_atom_site_type_symbol
_atom_site_fract_x
_atom_site_fract_y
_atom_site_fract_z
_atom_site_occupancy
Si1 Si 0.0000 0.0000 0.0000 1
As1 As 0.2064 0.5000 0.2862 1
Se1 Se 0.0000 0.5000 0.5000 1
```

Which one sits at the bottom of the stability order? <Q> does.